The following is a DFT calculation (GGA-PBE) of a relaxed structure of Sr2InGa4Hg3.

a b c (Å): 4.6309 4.6309 11.5896
angles (deg): 90.00 90.00 90.00
Element x y z (fractional)
1 Sr 0.0000 0.5000 0.2475
2 Sr 0.5000 0.0000 0.7525
3 In 0.0000 0.0000 0.5000
4 Ga 0.0000 0.0000 0.0000
5 Ga 0.0000 0.5000 0.6396
6 Ga 0.5000 0.0000 0.3604
7 Ga 0.5000 0.5000 0.0000
8 Hg 0.0000 0.5000 0.8665
9 Hg 0.5000 0.0000 0.1335
10 Hg 0.5000 0.5000 0.5000

Results
- SG: P-4m2, No. 115
- Energy of formation from the pure elements: -0.33 eV per atom
- N(E_F): 5.327 states/eV per cell
- Total energy: -0.165 Ry per atom

The following is a DFT calculation (GGA-PBE) of a relaxed structure of PmSbI.

a b c (Å): 5.3839 5.3839 3.7377
angles (deg): 90.00 90.00 120.00
Element x y z (fractional)
1 Pm 0.0000 0.0000 0.0000
2 Sb 0.6667 0.3333 0.5000
3 I 0.3333 0.6667 0.0000

Results
- SG: P-6m2, No. 187
- N(E_F): 2.694 states/eV per cell
- Total energy: -0.302 Ry per atom
- Uncorrected formation energy: -0.64 eV/atom

The following is a DFT calculation (GGA-PBE) of a relaxed structure of LaCd2Sn.

a b c (Å): 4.6446 4.6446 4.9752
angles (deg): 90.00 90.00 90.00
Element x y z (fractional)
1 La 0.0000 0.0000 0.0000
2 Cd 0.0000 0.5000 0.5000
3 Cd 0.5000 0.0000 0.5000
4 Sn 0.5000 0.5000 0.0000

Results
- SG: P4/mmm, No. 123
- Energy of formation from the pure elements: -0.45 eV per atom
- N(E_F): 1.578 states/eV per cell
- Total energy: -0.231 Ry per atom